# 1
# GGA-PBE CeLu3N, optimized geometry
# V	22.8	A^3/atom
# magnetic moment	2.030	μB per cell
# ΔE_f (raw)	-2.21	eV per formula unit
data_CeLu3N
_cell_length_a 4.846
_cell_length_b 4.846
_cell_length_c 4.846
_cell_angle_alpha 90.00
_cell_angle_beta 90.00
_cell_angle_gamma 90.00
_symmetry_space_group_name_H-M 'P m -3 m'
_symmetry_Int_Tables_number 221
_symmetry_space_group_name_Hall '-P 4 2 3'
loop_
_atom_site_label
_atom_site_fract_x
_atom_site_fract_y
_atom_site_fract_z
Ce1 0.000 0.000 0.000
Lu1 0.000 0.500 0.500
N1 0.500 0.500 0.500


# 2
# GGA-PBE Ce3LuN, optimized geometry
# V	24.1	A^3/atom
# magnetic moment	0.481	μB per cell
# ΔE_f (raw)	-2.60	eV per formula unit
data_Ce3LuN
_cell_length_a 4.937
_cell_length_b 4.937
_cell_length_c 4.937
_cell_angle_alpha 90.00
_cell_angle_beta 90.00
_cell_angle_gamma 90.00
_symmetry_space_group_name_H-M 'P m -3 m'
_symmetry_Int_Tables_number 221
_symmetry_space_group_name_Hall '-P 4 2 3'
loop_
_atom_site_label
_atom_site_fract_x
_atom_site_fract_y
_atom_site_fract_z
Ce1 0.000 0.000 0.500
Lu1 0.500 0.500 0.500
N1 0.000 0.000 0.000